Record 1
TaNO | SCAN | PBEsol geometry

## Properties
The symmetry is No. 12. The total energy is -88.398 eV per formula unit.

Lattice parameters (Å, degrees): 3.8657 6.6992 6.8079 106.90 106.49 90.00
With the nearest neighbours (Å) after each atom.
Fractional coordinates of all 12 atoms:
Ta 0.3975 0.7950 0.7950  3 O 1.92-1.98, 1 N 1.96
Ta 0.6025 0.2050 0.2050  3 O 1.92-1.98, 1 N 1.96
Ta 0.6897 0.8053 0.3794  1 O 1.91, 3 N 1.92-2.04
Ta 0.3103 0.1947 0.6206  1 O 1.91, 3 N 1.92-2.04
N 0.2411 0.8526 0.4823  4 Ta 2.04-2.19
N 0.7589 0.1474 0.5177  4 Ta 2.04-2.19
N 0.5543 0.8624 0.1087  2 Ta 1.92-1.96
N 0.4457 0.1376 0.8913  2 Ta 1.92-1.96
O 0.3590 0.4941 0.7180  2 Ta 1.91-1.92
O 0.6410 0.5059 0.2820  2 Ta 1.91-1.92
O 0.1352 0.2091 0.2703  2 Ta 1.98
O 0.8648 0.7909 0.7297  2 Ta 1.98

***

Record 2
TaTcN2O | SCAN | PBEsol geometry

## Properties
The symmetry is No. 123. The total energy is -124.967 eV per formula unit.

Lattice parameters (Å, degrees): 3.6900 3.8379 3.8379 90.00 90.00 90.00
With the nearest neighbours (Å) after each atom.
Fractional coordinates of all 5 atoms:
N 0.0000 0.0000 0.5000  2 Tc 1.92
N 0.0000 0.5000 0.0000  2 Tc 1.92
Tc 0.0000 0.0000 0.0000  2 O 1.84, 4 N 1.92
O 0.5000 0.0000 0.0000  2 Tc 1.84
Ta 0.5000 0.5000 0.5000  8 N 2.66, 4 O 2.71

***

Record 3
TaTe2NO | SCAN | PBEsol geometry

## Properties
The symmetry is No. 123. The total energy is -150.559 eV per formula unit.

Lattice parameters (Å, degrees): 3.6836 4.6455 4.6455 90.00 90.00 90.00
With the nearest neighbours (Å) after each atom.
Fractional coordinates of all 5 atoms:
N 0.5000 0.0000 0.0000  2 O 1.84
Te 0.0000 0.0000 0.5000  2 O 2.32
Te 0.0000 0.5000 0.0000  2 O 2.32
O 0.0000 0.0000 0.0000  2 N 1.84
Ta 0.5000 0.5000 0.5000  8 Te 2.96, 4 N 3.28

***

Record 4
TaTeNO2 | SCAN | PBEsol geometry

## Properties
The symmetry is No. 123. The total energy is -130.716 eV per formula unit.

Lattice parameters (Å, degrees): 3.9290 3.9290 4.2881 90.00 90.00 90.00
With the nearest neighbours (Å) after each atom.
Fractional coordinates of all 5 atoms:
N 0.0000 0.0000 0.5000  2 Ta 2.14
Te 0.5000 0.5000 0.5000  4 N 2.78, 8 O 2.91
O 0.0000 0.5000 0.0000  2 Ta 1.96
O 0.5000 0.0000 0.0000  2 Ta 1.96
Ta 0.0000 0.0000 0.0000  4 O 1.96, 2 N 2.14

***

Record 5
Y2TaNO | SCAN | PBEsol geometry

## Properties
The symmetry is No. 123. The total energy is -137.001 eV per formula unit.

Lattice parameters (Å, degrees): 4.3828 4.3828 4.4897 90.00 90.00 90.00
With the nearest neighbours (Å) after each atom.
Fractional coordinates of all 5 atoms:
Y 0.0000 0.5000 0.0000  2 O 2.19
Y 0.5000 0.0000 0.0000  2 O 2.19
N 0.0000 0.0000 0.5000  2 O 2.24
O 0.0000 0.0000 0.0000  4 Y 2.19, 2 N 2.24
Ta 0.5000 0.5000 0.5000  4 N 3.10, 8 Y 3.14

***

Record 6
TiTcNO2 | SCAN | PBEsol geometry

## Properties
The symmetry is No. 123. The total energy is -77.384 eV per formula unit.

Lattice parameters (Å, degrees): 3.8240 3.7982 3.7982 90.00 90.00 90.00
With the nearest neighbours (Å) after each atom.
Fractional coordinates of all 5 atoms:
N 0.5000 0.0000 0.0000  2 Tc 1.91
Tc 0.0000 0.0000 0.0000  4 O 1.90, 2 N 1.91
O 0.0000 0.0000 0.5000  2 Tc 1.90
O 0.0000 0.5000 0.0000  2 Tc 1.90
Ti 0.5000 0.5000 0.5000  4 N 2.69, 8 O 2.69

***

Record 7
TiTcN2O | SCAN | PBEsol geometry

## Properties
The symmetry is No. 123. The total energy is -77.679 eV per formula unit.

Lattice parameters (Å, degrees): 3.7803 3.8056 3.8056 90.00 90.00 90.00
With the nearest neighbours (Å) after each atom.
Fractional coordinates of all 5 atoms:
N 0.0000 0.0000 0.5000  2 Tc 1.90
N 0.0000 0.5000 0.0000  2 Tc 1.90
Tc 0.0000 0.0000 0.0000  2 O 1.89, 4 N 1.90
O 0.5000 0.0000 0.0000  2 Tc 1.89
Ti 0.5000 0.5000 0.5000  8 N 2.68, 4 O 2.69

***

Record 8
YTcNO2 | SCAN | PBEsol geometry

## Properties
The symmetry is No. 123. The total energy is -85.855 eV per formula unit.

Lattice parameters (Å, degrees): 4.1979 4.1979 4.4060 90.00 90.00 90.00
With the nearest neighbours (Å) after each atom.
Fractional coordinates of all 5 atoms:
Y 0.0000 0.0000 0.0000  4 O 2.10, 2 N 2.20
Tc 0.5000 0.5000 0.5000  4 N 2.97, 8 O 3.04
O 0.0000 0.5000 0.0000  2 Y 2.10
O 0.5000 0.0000 0.0000  2 Y 2.10
N 0.0000 0.0000 0.5000  2 Y 2.20